The following is a DFT calculation (PBE) of crystalline RbPd5Se8 at its relaxed geometry.

- M_tot: 0.000 μB/atom
- VASP energy: -4.276 eV per atom
- Space group: C2/m
- Uncorrected formation energy: -0.3614 eV per atom

Lattice parameters (Å, degrees): 3.868 8.927 9.847 105.25 101.33 90.00
Fractional coordinates of all 14 atoms:
Se (0.913, 0.165, 0.825)
Pd (0.703, 0.328, 0.405)
Se (0.431, 0.837, 0.861)
Pd (0.340, 0.015, 0.680)
Pd (0.000, 0.000, 0.000)
Se (0.237, 0.152, 0.475)
Pd (0.297, 0.672, 0.595)
Se (0.828, 0.513, 0.655)
Se (0.172, 0.487, 0.345)
Se (0.763, 0.848, 0.525)
Pd (0.660, 0.985, 0.320)
Rb (0.500, 0.500, 0.000)
Se (0.088, 0.835, 0.175)
Se (0.569, 0.163, 0.139)

***

The following is a DFT calculation (PBE) of crystalline Rb3PdSe2 at its relaxed geometry.

- M_tot: 0.000 μB/atom
- VASP energy: -3.188 eV per atom
- Space group: Ibam
- Uncorrected formation energy: -0.6773 eV per atom

Lattice parameters (Å, degrees): 8.477 7.338 8.882 114.40 118.50 90.00
Fractional coordinates of all 12 atoms:
Se (0.727, 0.918, 0.837)
Rb (0.004, 0.177, 0.353)
Rb (0.500, 0.750, 0.000)
Pd (0.000, 0.250, 0.000)
Rb (0.349, 0.677, 0.353)
Rb (0.996, 0.823, 0.647)
Pd (0.000, 0.750, 0.000)
Rb (0.500, 0.250, 0.000)
Se (0.110, 0.418, 0.837)
Se (0.273, 0.082, 0.163)
Se (0.890, 0.582, 0.163)
Rb (0.651, 0.323, 0.647)

***

The following is a DFT calculation (PBE) of crystalline RbPdSe at its relaxed geometry.

- M_tot: 0.000 μB/atom
- VASP energy: -3.860 eV per atom
- Space group: P-6m2
- Uncorrected formation energy: -0.6445 eV per atom

Lattice parameters (Å, degrees): 5.341 4.310 4.310 120.00 90.00 90.00
Fractional coordinates of all 3 atoms:
Se (0.167, 0.000, 0.000)
Rb (0.667, 0.667, 0.333)
Pd (0.167, 0.333, 0.667)

***

The following is a DFT calculation (PBE) of crystalline RbPdSe at its relaxed geometry.

- M_tot: 0.000 μB/atom
- VASP energy: -3.900 eV per atom
- Space group: Pnma
- Uncorrected formation energy: -0.6852 eV per atom

Lattice parameters (Å, degrees): 4.523 8.156 10.554 90.00 90.00 90.00
Fractional coordinates of all 12 atoms:
Rb (0.250, 0.539, 0.704)
Pd (0.750, 0.599, 0.992)
Pd (0.250, 0.401, 0.008)
Se (0.250, 0.216, 0.484)
Rb (0.250, 0.039, 0.796)
Se (0.250, 0.716, 0.016)
Rb (0.750, 0.461, 0.296)
Pd (0.250, 0.901, 0.492)
Se (0.750, 0.284, 0.984)
Rb (0.750, 0.961, 0.204)
Pd (0.750, 0.099, 0.508)
Se (0.750, 0.784, 0.516)